(1)
# Tm8Al2Tc

Tm8Al2Tc after structural relaxation (PBE-GGA, Alexandria).

Computed properties:
Calculated formation energy in eV per atom: -0.179

a b c (Å): 16.9700 5.2411 6.8542
angles (deg): 90.00 111.85 90.00
Closest atoms and distances in Å follow each position.
Space group C2/m (No. 12)
Asymmetric unit:
Tm  0.0142  0.0000  0.2770 (multiplicity 4)  2 Tc 3.09, 1 Al 3.13, 5 Tm 3.26-3.38
Tm  0.1030  0.5000  0.9161 (multiplicity 4)  1 Tc 2.73
Tm  0.1497  0.5000  0.4288 (multiplicity 4)  1 Tc 2.76, 1 Al 3.08
Tm  0.1949  0.0000  0.7602 (multiplicity 4)  3 Al 3.02-3.29, 4 Tm 3.32-3.36
Al  0.1818  0.0000  0.1873 (multiplicity 4)  9 Tm 3.02-3.29
Tc  0.0000  0.5000  0.5000 (multiplicity 2)  4 Tm 2.73-2.76

***

(2)
# Tm3Al9Tc2

Tm3Al9Tc2 after structural relaxation (PBE-GGA, Alexandria).

Computed properties:
Calculated formation energy in eV per atom: -0.462

a b c (Å): 4.3421 9.5137 12.4285
angles (deg): 90.00 90.00 90.00
Closest atoms and distances in Å follow each position.
Space group Immm (No. 71)
Asymmetric unit:
Tm  0.0000  0.0000  0.0000 (multiplicity 2)  12 Al 3.11-3.16
Tm  0.0000  0.0000  0.3000 (multiplicity 4)  2 Tc 2.98, 10 Al 3.14-3.30
Al  0.0000  0.2823  0.1264 (multiplicity 8)  4 Al 2.58-2.87, 2 Tc 2.71
Al  0.0000  0.3615  0.3491 (multiplicity 8)  4 Al 2.58-2.87, 1 Tc 2.60
Al  0.0000  0.5000  0.0000 (multiplicity 2)  4 Al 2.60, 4 Tc 2.72
Tc  0.0000  0.1726  0.5000 (multiplicity 4)  8 Al 2.60-2.72

***

(3)
# Tm4AlTc

Tm4AlTc after structural relaxation (PBE-GGA, Alexandria).

Computed properties:
Excess energy over the best structure of this formula in the dataset in meV/atom: 8
Calculated formation energy in eV per atom: -0.206

a b c (Å): 8.4351 12.6187 6.0869
angles (deg): 90.00 107.38 90.00
Closest atoms and distances in Å follow each position.
Space group C2/c (No. 15)
Asymmetric unit:
Tm  0.1073  0.1715  0.0471 (multiplicity 8)  2 Tc 2.76-2.80
Tm  0.2138  0.4217  0.3914 (multiplicity 8)  2 Tc 2.90-2.97, 1 Al 3.11
Al  0.0000  0.3747  0.7500 (multiplicity 4)  8 Tm 3.11-3.27
Tc  0.0000  0.0010  0.2500 (multiplicity 4)  8 Tm 2.76-2.97, 2 Tc 3.04

***

(4)
# TmAl10Tc2

TmAl10Tc2 after structural relaxation (PBE-GGA, Alexandria).

Computed properties:
Calculated formation energy in eV per atom: -0.406

a b c (Å): 9.1344 10.3315 9.1585
angles (deg): 90.00 90.00 90.00
Closest atoms and distances in Å follow each position.
Space group Cmcm (No. 63)
Asymmetric unit:
Tm  0.0000  0.1287  0.2500 (multiplicity 4)  14 Al 3.13-3.36, 4 Tc 3.47
Al  0.0000  0.1498  0.5964 (multiplicity 8)  6 Al 2.63-2.88, 2 Tc 2.66
Al  0.0000  0.3750  0.0382 (multiplicity 8)  6 Al 2.63-2.83, 2 Tc 2.65
Al  0.1571  0.3707  0.7500 (multiplicity 8)  5 Al 2.66-2.87, 2 Tc 2.74
Al  0.2251  0.3651  0.2500 (multiplicity 8)  2 Tc 2.59, 8 Al 2.66-2.88
Al  0.2266  0.0000  0.0000 (multiplicity 8)  2 Tc 2.59, 8 Al 2.72-2.86
Tc  0.2500  0.2500  0.0000 (multiplicity 8)  10 Al 2.59-2.74

***

(5)
# TmAl2Tc

TmAl2Tc after structural relaxation (PBE-GGA, Alexandria).

Computed properties:
Excess energy over the best structure of this formula in the dataset in meV/atom: 451
Calculated formation energy in eV per atom: 0.111

a b c (Å): 5.4861 9.5422 3.0930
angles (deg): 90.00 90.00 90.00
Closest atoms and distances in Å follow each position.
Space group Cmmm (No. 65)
Asymmetric unit:
Tm  0.0000  0.0000  0.0000 (multiplicity 2)  2 Tc 2.74
Al  0.0000  0.2938  0.5000 (multiplicity 4)  2 Tc 2.50
Tc  0.0000  0.5000  0.0000 (multiplicity 2)  4 Al 2.50, 2 Tm 2.74

***

(6)
# Tm4AlTc

Tm4AlTc after structural relaxation (PBE-GGA, Alexandria).

Computed properties:
Excess energy over the best structure of this formula in the dataset in meV/atom: 0
Calculated formation energy in eV per atom: -0.214

a b c (Å): 5.3558 6.5587 8.3871
angles (deg): 90.00 96.67 90.00
Closest atoms and distances in Å follow each position.
Space group P2_1/m (No. 11)
Asymmetric unit:
Tm  0.1565  0.2500  0.0753 (multiplicity 2)  2 Tc 2.78-2.98, 1 Al 3.00
Tm  0.2226  0.7500  0.3837 (multiplicity 2)  1 Tc 2.93, 2 Al 3.07-3.08
Tm  0.3154  0.5050  0.7597 (multiplicity 4)  2 Tc 2.81-2.93
Al  0.2425  0.2500  0.4349 (multiplicity 2)  7 Tm 3.00-3.31
Tc  0.3468  0.7500  0.0529 (multiplicity 2)  7 Tm 2.78-2.98

***

(7)
# Tm5Al2Tc

Tm5Al2Tc after structural relaxation (PBE-GGA, Alexandria).

Computed properties:
Calculated formation energy in eV per atom: -0.250

a b c (Å): 6.3838 12.2598 4.8674
angles (deg): 90.00 90.00 90.00
Closest atoms and distances in Å follow each position.
Space group Pbam (No. 55)
Asymmetric unit:
Tm  0.0000  0.0000  0.0000 (multiplicity 2)  4 Al 3.13, 2 Tc 3.19, 6 Tm 3.47-3.50
Tm  0.1139  0.2797  0.0000 (multiplicity 4)  1 Tc 2.80, 2 Al 3.03
Tm  0.1676  0.6026  0.5000 (multiplicity 4)  2 Tc 2.94, 3 Al 3.09-3.22
Al  0.1457  0.8583  0.5000 (multiplicity 4)  10 Tm 3.03-3.40
Tc  0.0000  0.5000  0.0000 (multiplicity 2)  6 Tm 2.80-2.94

***

(8)
# TmAl4Tc

TmAl4Tc after structural relaxation (PBE-GGA, Alexandria).

Computed properties:
Calculated formation energy in eV per atom: -0.198

a b c (Å): 4.5217 14.1365 6.8770
angles (deg): 90.00 90.00 90.00
Closest atoms and distances in Å follow each position.
Space group Cmcm (No. 63)
Asymmetric unit:
Tm  0.0000  0.1190  0.2500 (multiplicity 4)  7 Al 2.86-3.05, 1 Tc 3.16
Al  0.0000  0.0833  0.7500 (multiplicity 4)  2 Tc 2.49
Al  0.0000  0.2627  0.5771 (multiplicity 8)  3 Al 2.38-2.52, 1 Tc 2.52
Al  0.0000  0.5000  0.0000 (multiplicity 4)  2 Tc 2.81, 4 Al 3.07
Tc  0.0000  0.3424  0.2500 (multiplicity 4)  4 Al 2.49-2.52

***

(9)
# TmAl8Tc2

TmAl8Tc2 after structural relaxation (PBE-GGA, Alexandria).

Computed properties:
Calculated formation energy in eV per atom: -0.158

a b c (Å): 8.5076 10.5176 4.8091
angles (deg): 90.00 103.72 90.00
Closest atoms and distances in Å follow each position.
Space group C2/m (No. 12)
Asymmetric unit:
Tm  0.0000  0.0000  0.0000 (multiplicity 2)  12 Al 3.00-3.34
Al  0.0000  0.2849  0.0000 (multiplicity 4)  2 Tc 2.40
Al  0.1076  0.5000  0.7588 (multiplicity 4)  2 Tc 2.66, 5 Al 2.72-2.79
Al  0.2281  0.1280  0.5956 (multiplicity 8)  2 Tc 2.49-2.64, 2 Al 2.69-2.78
Tc  0.0000  0.2829  0.5000 (multiplicity 4)  8 Al 2.40-2.66

***

(10)
# Tm8AlTc2

Tm8AlTc2 after structural relaxation (PBE-GGA, Alexandria).

Computed properties:
Calculated formation energy in eV per atom: -0.148

a b c (Å): 17.4631 4.7658 7.1134
angles (deg): 90.00 110.23 90.00
Closest atoms and distances in Å follow each position.
Space group C2/m (No. 12)
Asymmetric unit:
Tm  0.0333  0.0000  0.2699 (multiplicity 4)  1 Tc 2.88, 2 Al 3.06
Tm  0.0996  0.5000  0.9672 (multiplicity 4)  2 Tc 2.96, 1 Al 3.17, 1 Tm 3.24
Tm  0.1745  0.5000  0.4527 (multiplicity 4)  3 Tc 2.86-3.06, 1 Al 3.18
Tm  0.1988  0.0000  0.8075 (multiplicity 4)  3 Tc 2.83-3.14
Al  0.0000  0.5000  0.5000 (multiplicity 2)  8 Tm 3.06-3.18
Tc  0.1844  0.0000  0.1914 (multiplicity 4)  9 Tm 2.83-3.14

***

(11)
# TmAl5Tc

TmAl5Tc after structural relaxation (PBE-GGA, Alexandria).

Computed properties:
Calculated formation energy in eV per atom: -0.382

a b c (Å): 4.3104 4.3104 6.9063
angles (deg): 90.00 90.00 90.00
Closest atoms and distances in Å follow each position.
Space group P4/mmm (No. 123)
Asymmetric unit:
Tm  0.0000  0.0000  0.0000 (multiplicity 1)  12 Al 3.01-3.05
Al  0.0000  0.5000  0.3047 (multiplicity 4)  2 Tc 2.54, 1 Al 2.70
Al  0.5000  0.5000  0.0000 (multiplicity 1)  8 Al 3.01, 4 Tm 3.05
Tc  0.0000  0.0000  0.5000 (multiplicity 1)  8 Al 2.54

***

(12)
# Tm6Al2Tc

Tm6Al2Tc after structural relaxation (PBE-GGA, Alexandria).

Computed properties:
Calculated formation energy in eV per atom: -0.012

a b c (Å): 4.9808 7.0054 14.4812
angles (deg): 90.00 90.00 90.00
Closest atoms and distances in Å follow each position.
Space group Immm (No. 71)
Asymmetric unit:
Tm  0.0000  0.2319  0.0000 (multiplicity 4)  2 Tc 2.97, 2 Al 3.06, 1 Tm 3.25
Tm  0.0000  0.2553  0.3427 (multiplicity 8)  1 Tc 2.85, 3 Al 3.07
Al  0.0000  0.5000  0.1670 (multiplicity 4)  8 Tm 3.06-3.07
Tc  0.0000  0.5000  0.5000 (multiplicity 2)  8 Tm 2.85-2.97

***

(13)
# TmAl2Tc

TmAl2Tc after structural relaxation (PBE-GGA, Alexandria).

Computed properties:
Excess energy over the best structure of this formula in the dataset in meV/atom: 0
Calculated formation energy in eV per atom: -0.339

a b c (Å): 3.2594 3.2594 6.7550
angles (deg): 90.00 90.00 90.00
Closest atoms and distances in Å follow each position.
Space group P4/mmm (No. 123)
Asymmetric unit:
Tm  0.0000  0.0000  0.0000 (multiplicity 1)  8 Al 3.11, 4 Tm 3.26, 2 Tc 3.38
Al  0.5000  0.5000  0.3087 (multiplicity 2)  1 Al 2.58, 4 Tc 2.64
Tc  0.0000  0.0000  0.5000 (multiplicity 1)  8 Al 2.64

***

(14)
# TmAlTc2

TmAlTc2 after structural relaxation (PBE-GGA, Alexandria).

Computed properties:
Calculated formation energy in eV per atom: 0.188

a b c (Å): 3.1182 3.1182 24.7122
angles (deg): 90.00 90.00 120.00
Closest atoms and distances in Å follow each position.
Space group R-3m (No. 166, hexagonal axes)
Asymmetric unit:
Tm  0.0000  0.0000  0.0000 (multiplicity 3)  6 Tc 2.88, 6 Tm 3.12
Al  0.0000  0.0000  0.5000 (multiplicity 3)  6 Tc 2.60
Tc  0.0000  0.0000  0.2425 (multiplicity 6)  3 Al 2.60, 3 Tm 2.88

***

(15)
# UAl2Tc

UAl2Tc after structural relaxation (PBE-GGA, Alexandria).

Computed properties:
Excess energy over the best structure of this formula in the dataset in meV/atom: 265
Calculated formation energy in eV per atom: 0.144

a b c (Å): 2.8208 2.8208 30.6250
angles (deg): 90.00 90.00 120.00
Closest atoms and distances in Å follow each position.
Space group R-3m (No. 166, hexagonal axes)
Asymmetric unit:
U  0.0000  0.0000  0.0000 (multiplicity 3)  6 U 2.82, 2 Al 3.02
Al  0.0000  0.0000  0.0987 (multiplicity 6)  3 Tc 2.64, 6 Al 2.82
Tc  0.0000  0.0000  0.5000 (multiplicity 3)  6 Al 2.64, 6 Tc 2.82

***

(16)
# UAl2Tc

UAl2Tc after structural relaxation (PBE-GGA, Alexandria).

Computed properties:
Excess energy over the best structure of this formula in the dataset in meV/atom: 0
Calculated formation energy in eV per atom: -0.121

a b c (Å): 2.8012 2.8012 8.4807
angles (deg): 90.00 90.00 90.00
Closest atoms and distances in Å follow each position.
Space group P4/mmm (No. 123)
Asymmetric unit:
U  0.0000  0.0000  0.0000 (multiplicity 1)  4 U 2.80, 8 Al 3.13
Al  0.5000  0.5000  0.2855 (multiplicity 2)  4 Tc 2.69, 4 Al 2.80
Tc  0.0000  0.0000  0.5000 (multiplicity 1)  8 Al 2.69, 4 Tc 2.80

***

(17)
# U4Al6Tc7

U4Al6Tc7 after structural relaxation (PBE-GGA, Alexandria).

Computed properties:
Calculated formation energy in eV per atom: -0.209

a b c (Å): 8.3355 8.3355 8.3355
angles (deg): 90.00 90.00 90.00
Closest atoms and distances in Å follow each position.
Space group Im-3m (No. 229)
Asymmetric unit:
U  0.2500  0.2500  0.2500 (multiplicity 8)  6 Tc 2.95, 6 Al 2.98
Al  0.0000  0.0000  0.3051 (multiplicity 12)  5 Tc 2.54-2.64
Tc  0.0000  0.0000  0.0000 (multiplicity 2)  6 Al 2.54
Tc  0.0000  0.2500  0.5000 (multiplicity 12)  4 Al 2.64, 4 Tc 2.95, 4 U 2.95

***

(18)
# U2AlTc

U2AlTc after structural relaxation (PBE-GGA, Alexandria).

Computed properties:
Calculated formation energy in eV per atom: -0.094

a b c (Å): 4.0762 4.0762 4.3755
angles (deg): 90.00 90.00 90.00
Closest atoms and distances in Å follow each position.
Space group P4/mmm (No. 123)
Asymmetric unit:
U  0.0000  0.5000  0.0000 (multiplicity 2)  4 U 2.88, 4 Tc 2.99, 4 Al 2.99
Al  0.0000  0.0000  0.5000 (multiplicity 1)  4 Tc 2.88, 8 U 2.99
Tc  0.5000  0.5000  0.5000 (multiplicity 1)  4 Al 2.88, 8 U 2.99

***

(19)
# U2AlTc

U2AlTc after structural relaxation (PBE-GGA, Alexandria).

Computed properties:
Calculated formation energy in eV per atom: 0.344

a b c (Å): 2.9339 2.9339 31.7366
angles (deg): 90.00 90.00 120.00
Closest atoms and distances in Å follow each position.
Space group R-3m (No. 166, hexagonal axes)
Asymmetric unit:
U  0.0000  0.0000  0.0936 (multiplicity 6)  3 Tc 2.87, 6 U 2.93, 1 Al 2.97
Al  0.0000  0.0000  0.0000 (multiplicity 3)  6 Al 2.93, 2 U 2.97
Tc  0.0000  0.0000  0.5000 (multiplicity 3)  6 U 2.87, 6 Tc 2.93

***

(20)
# UAl5Tc

UAl5Tc after structural relaxation (PBE-GGA, Alexandria).

Computed properties:
Calculated formation energy in eV per atom: -0.230

a b c (Å): 4.3606 4.3606 6.8263
angles (deg): 90.00 90.00 90.00
Closest atoms and distances in Å follow each position.
Space group P4/mmm (No. 123)
Asymmetric unit:
U  0.0000  0.0000  0.0000 (multiplicity 1)  12 Al 3.00-3.08
Al  0.0000  0.5000  0.3027 (multiplicity 4)  2 Tc 2.56, 1 Al 2.69
Al  0.5000  0.5000  0.0000 (multiplicity 1)  8 Al 3.00, 4 U 3.08
Tc  0.0000  0.0000  0.5000 (multiplicity 1)  8 Al 2.56

***

| no. | M_tot (μB/f.u.) |
| --- | --- |
| 1 | 0.0 |
| 2 | 0.0 |
| 3 | 0.0 |
| 4 | 0.0 |
| 5 | 0.0 |
| 6 | 0.0 |
| 7 | 0.0 |
| 8 | 0.0 |
| 9 | 0.0 |
| 10 | 0.0 |
| 11 | 0.0 |
| 12 | 0.0 |
| 13 | 0.0 |
| 14 | 0.0 |
| 15 | 0.4 |
| 16 | 1.7 |
| 17 | 0.0 |
| 18 | 0.0 |
| 19 | 0.7 |
| 20 | 2.2 |